--- i ---
# CdAuCl6, relaxed, DFT PBE
# Density   3.415 g cm⁻³
data_CdAuCl6
_chemical_formula_sum 'Cd2 Au2 Cl12'
_space_group_name_H-M_alt 'C 1 2/m 1'
_space_group_IT_number 12
_space_group_name_Hall '-C 2y'
_cell_length_a 6.5457
_cell_length_b 11.1410
_cell_length_c 7.5730
_cell_angle_alpha 90.00
_cell_angle_beta 113.16
_cell_angle_gamma 90.00
loop_
_atom_site_label
_atom_site_type_symbol
_atom_site_fract_x
_atom_site_fract_y
_atom_site_fract_z
_atom_site_occupancy
Cd1 Cd 0.0000 0.0000 0.0000 1
Au1 Au 0.0000 0.0000 0.5000 1
Cl1 Cl 0.0284 0.1485 0.2953 1
Cl2 Cl 0.0709 0.5000 0.8606 1

--- ii ---
# CdAuCl6, relaxed, DFT PBE
# D(E_F)   0.25 states/eV/atom
# Density   4.187 g cm⁻³
data_CdAuCl6
_chemical_formula_sum 'Cd1 Au1 Cl6'
_space_group_name_H-M_alt 'P -1'
_space_group_IT_number 2
_space_group_name_Hall '-P 1'
_cell_length_a 6.3113
_cell_length_b 6.3407
_cell_length_c 6.7185
_cell_angle_alpha 65.68
_cell_angle_beta 63.84
_cell_angle_gamma 62.79
loop_
_atom_site_label
_atom_site_type_symbol
_atom_site_fract_x
_atom_site_fract_y
_atom_site_fract_z
_atom_site_occupancy
Cd1 Cd 0.0000 0.0000 0.0000 1
Au1 Au 0.5000 0.5000 0.5000 1
Cl1 Cl 0.1148 0.4341 0.7338 1
Cl2 Cl 0.2529 0.9191 0.2418 1
Cl3 Cl 0.4437 0.7226 0.7386 1

The most stable of them is i.

--- i ---
# Cd3AuCl, relaxed, DFT PBE
# D(E_F)   0.38 states/eV/atom
# Density   6.241 g cm⁻³
data_Cd3AuCl
_chemical_formula_sum 'Cd3 Au1 Cl1'
_space_group_name_H-M_alt 'P m -3 m'
_space_group_IT_number 221
_space_group_name_Hall '-P 4 2 3'
_cell_length_a 5.3317
_cell_length_b 5.3317
_cell_length_c 5.3317
_cell_angle_alpha 90.00
_cell_angle_beta 90.00
_cell_angle_gamma 90.00
loop_
_atom_site_label
_atom_site_type_symbol
_atom_site_fract_x
_atom_site_fract_y
_atom_site_fract_z
_atom_site_occupancy
Cd1 Cd 0.0000 0.0000 0.5000 1
Au1 Au 0.0000 0.0000 0.0000 1
Cl1 Cl 0.5000 0.5000 0.5000 1

--- ii ---
# Cd3AuCl, relaxed, DFT PBE
# D(E_F)   0.56 states/eV/atom
# Density   6.152 g cm⁻³
data_Cd3AuCl
_chemical_formula_sum 'Cd3 Au1 Cl1'
_space_group_name_H-M_alt 'P m -3 m'
_space_group_IT_number 221
_space_group_name_Hall '-P 4 2 3'
_cell_length_a 5.3573
_cell_length_b 5.3573
_cell_length_c 5.3573
_cell_angle_alpha 90.00
_cell_angle_beta 90.00
_cell_angle_gamma 90.00
loop_
_atom_site_label
_atom_site_type_symbol
_atom_site_fract_x
_atom_site_fract_y
_atom_site_fract_z
_atom_site_occupancy
Cd1 Cd 0.0000 0.0000 0.5000 1
Au1 Au 0.5000 0.5000 0.5000 1
Cl1 Cl 0.0000 0.0000 0.0000 1

The most stable of them is i.

--- i ---
# CdPAuCl2, relaxed, DFT PBE
# D(E_F)   0.37 states/eV/atom
# Density   5.331 g cm⁻³
data_CdPAuCl2
_chemical_formula_sum 'Cd1 P1 Au1 Cl2'
_space_group_name_H-M_alt 'P 4/m m m'
_space_group_IT_number 123
_space_group_name_Hall '-P 4 2'
_cell_length_a 5.1070
_cell_length_b 5.1070
_cell_length_c 4.9114
_cell_angle_alpha 90.00
_cell_angle_beta 90.00
_cell_angle_gamma 90.00
loop_
_atom_site_label
_atom_site_type_symbol
_atom_site_fract_x
_atom_site_fract_y
_atom_site_fract_z
_atom_site_occupancy
Cd1 Cd 0.0000 0.0000 0.0000 1
P1 P 0.5000 0.5000 0.0000 1
Au1 Au 0.5000 0.5000 0.5000 1
Cl1 Cl 0.0000 0.5000 0.5000 1

--- ii ---
# CdPAuCl2, relaxed, DFT PBE
# D(E_F)   0.83 states/eV/atom
# Density   5.029 g cm⁻³
data_CdPAuCl2
_chemical_formula_sum 'Cd1 P1 Au1 Cl2'
_space_group_name_H-M_alt 'P 4/m m m'
_space_group_IT_number 123
_space_group_name_Hall '-P 4 2'
_cell_length_a 5.0284
_cell_length_b 5.0284
_cell_length_c 5.3705
_cell_angle_alpha 90.00
_cell_angle_beta 90.00
_cell_angle_gamma 90.00
loop_
_atom_site_label
_atom_site_type_symbol
_atom_site_fract_x
_atom_site_fract_y
_atom_site_fract_z
_atom_site_occupancy
Cd1 Cd 0.0000 0.0000 0.0000 1
P1 P 0.0000 0.0000 0.5000 1
Au1 Au 0.5000 0.5000 0.5000 1
Cl1 Cl 0.0000 0.5000 0.0000 1

The most stable of them is i.

--- i ---
# CdP2AuCl, relaxed, DFT PBE
# D(E_F)   0.78 states/eV/atom
# Density   5.522 g cm⁻³
data_CdP2AuCl
_chemical_formula_sum 'Cd1 P2 Au1 Cl1'
_space_group_name_H-M_alt 'P 4/m m m'
_space_group_IT_number 123
_space_group_name_Hall '-P 4 2'
_cell_length_a 4.8554
_cell_length_b 4.8554
_cell_length_c 5.1892
_cell_angle_alpha 90.00
_cell_angle_beta 90.00
_cell_angle_gamma 90.00
loop_
_atom_site_label
_atom_site_type_symbol
_atom_site_fract_x
_atom_site_fract_y
_atom_site_fract_z
_atom_site_occupancy
Cd1 Cd 0.0000 0.0000 0.0000 1
P1 P 0.0000 0.5000 0.5000 1
Au1 Au 0.5000 0.5000 0.5000 1
Cl1 Cl 0.5000 0.5000 0.0000 1

--- ii ---
# CdP2AuCl, relaxed, DFT PBE
# D(E_F)   0.64 states/eV/atom
# Density   5.207 g cm⁻³
data_CdP2AuCl
_chemical_formula_sum 'Cd1 P2 Au1 Cl1'
_space_group_name_H-M_alt 'P 4/m m m'
_space_group_IT_number 123
_space_group_name_Hall '-P 4 2'
_cell_length_a 5.0531
_cell_length_b 5.0531
_cell_length_c 5.0801
_cell_angle_alpha 90.00
_cell_angle_beta 90.00
_cell_angle_gamma 90.00
loop_
_atom_site_label
_atom_site_type_symbol
_atom_site_fract_x
_atom_site_fract_y
_atom_site_fract_z
_atom_site_occupancy
Cd1 Cd 0.0000 0.0000 0.0000 1
P1 P 0.0000 0.5000 0.0000 1
Au1 Au 0.5000 0.5000 0.5000 1
Cl1 Cl 0.0000 0.0000 0.5000 1

The most stable of them is i.